Entry 1:
BaAc2Cd4 | GGA-PBE | optimized geometry

## Properties
The energy relative to the elements is -0.080 eV per atom.

Cell and atoms, written as CIF:
```
data_BaAc2Cd4
_chemical_formula_sum 'Ba3 Ac6 Cd12'
_space_group_name_H-M_alt 'R -3 m'
_space_group_IT_number 166
_space_group_name_Hall '-R 3 2"'
_cell_length_a 5.6932
_cell_length_b 5.6932
_cell_length_c 28.5091
_cell_angle_alpha 90.00
_cell_angle_beta 90.00
_cell_angle_gamma 120.00
loop_
_atom_site_label
_atom_site_type_symbol
_atom_site_fract_x
_atom_site_fract_y
_atom_site_fract_z
Ba1 Ba 0.0000 0.0000 0.0000
Ac1 Ac 0.0000 0.0000 0.2374
Cd1 Cd 0.0000 0.0000 0.1204
Cd2 Cd 0.0000 0.0000 0.4027
```



Entry 2:
Ba3Ac2Cd3 | GGA-PBE | optimized geometry

## Properties
The energy relative to the elements is -0.215 eV per atom.

Cell and atoms, written as CIF:
```
data_Ba3Ac2Cd3
_chemical_formula_sum 'Ba6 Ac4 Cd6'
_space_group_name_H-M_alt 'I m m m'
_space_group_IT_number 71
_space_group_name_Hall '-I 2 2'
_cell_length_a 4.202
_cell_length_b 6.176
_cell_length_c 25.224
_cell_angle_alpha 90.00
_cell_angle_beta 90.00
_cell_angle_gamma 90.00
loop_
_atom_site_label
_atom_site_type_symbol
_atom_site_fract_x
_atom_site_fract_y
_atom_site_fract_z
Ba1 Ba 0.000 0.000 0.000
Ba2 Ba 0.000 0.500 0.119
Ac1 Ac 0.000 0.000 0.231
Cd1 Cd 0.000 0.000 0.500
Cd2 Cd 0.000 0.500 0.378
```



Entry 3:
BaAc2Cd | GGA-PBE | optimized geometry

## Properties
The energy relative to the elements is 0.080 eV per atom. The energy above the lowest structure with this stoichiometry is 0.1735 eV/atom.

Cell and atoms, written as CIF:
```
data_BaAc2Cd
_chemical_formula_sum 'Ba4 Ac8 Cd4'
_space_group_name_H-M_alt 'F m -3 m'
_space_group_IT_number 225
_space_group_name_Hall '-F 4 2 3'
_cell_length_a 8.572
_cell_length_b 8.572
_cell_length_c 8.572
_cell_angle_alpha 90.00
_cell_angle_beta 90.00
_cell_angle_gamma 90.00
loop_
_atom_site_label
_atom_site_type_symbol
_atom_site_fract_x
_atom_site_fract_y
_atom_site_fract_z
Ba1 Ba 0.000 0.000 0.000
Ac1 Ac 0.250 0.250 0.250
Cd1 Cd 0.000 0.000 0.500
```